Entry 1:
Density functional theory data (GGA-PBE) for a geometry-optimized Dy2AgHPd6 structure.

The value obtained for the calculated total energy is -5.206 eV per atom. The magnetic moment comes out at 0.00 μB/atom.

Cell: 6.981 5.747 7.181 Å, 113.55 133.71 90.09°
Fractional coordinates of all 10 atoms:
Dy (0.824, 0.259, 0.518)
Dy (0.176, 0.741, 0.482)
Ag (0.500, 0.500, 0.000)
H (0.000, 0.001, 0.000)
Pd (0.712, 0.670, 0.848)
Pd (0.835, 0.799, 0.596)
Pd (0.288, 0.331, 0.151)
Pd (0.713, 0.181, 0.848)
Pd (0.165, 0.202, 0.403)
Pd (0.287, 0.820, 0.151)

=====

Entry 2:
Density functional theory data (GGA-PBE) for a geometry-optimized TiReGeRu2 structure.

The value obtained for the calculated total energy is -7.497 eV per atom. The magnetic moment comes out at 0.00 μB/atom. Its calculated formation energy is 1.21 eV per atom.

Cell: 4.688 4.704 4.688 Å, 90.00 90.00 90.00°
Fractional coordinates of all 5 atoms:
Re (0.000, 0.000, 0.000)
Ge (0.500, 0.500, 0.500)
Ti (0.000, 0.500, 0.000)
Ru (0.000, 0.000, 0.500)
Ru (0.500, 0.000, 0.000)

=====

Entry 3:
Density functional theory data (GGA-PBE) for a geometry-optimized NpInBr6 structure.

The formation energy without anion corrections comes out at -0.990 eV/atom. The value obtained for the calculated total energy is -4.204 eV per atom. The magnetic moment comes out at 0.25 μB/atom.

Cell: 7.282 7.281 7.901 Å, 62.56 62.54 59.96°
Each line ends with the local moment (μB).
Fractional coordinates of all 8 atoms:
Np (0.000, 0.000, 0.000)  2.72
In (0.500, 0.500, 0.500)  -0.08
Br (0.057, 0.392, 0.766)  -0.09
Br (0.785, 0.057, 0.767)  -0.09
Br (0.608, 0.215, 0.234)  -0.09
Br (0.215, 0.943, 0.233)  -0.09
Br (0.943, 0.608, 0.234)  -0.09
Br (0.392, 0.785, 0.766)  -0.09

=====

Entry 4:
Density functional theory data (GGA-PBE) for a geometry-optimized CsCa2InBr8 structure.

The formation energy without anion corrections comes out at -1.500 eV/atom. The value obtained for the calculated total energy is -3.248 eV per atom. The magnetic moment comes out at 0.00 μB/atom.

Cell: 6.977 6.773 9.316 Å, 89.89 89.92 88.62°
Fractional coordinates of all 12 atoms:
Cs (0.000, 0.000, 0.500)
Ca (0.500, 0.500, 0.753)
Ca (0.500, 0.500, 0.247)
In (0.000, 0.000, 0.000)
Br (0.154, 0.755, 0.199)
Br (0.668, 0.750, 0.000)
Br (0.844, 0.243, 0.199)
Br (0.846, 0.245, 0.801)
Br (0.332, 0.250, 0.000)
Br (0.156, 0.757, 0.801)
Br (0.593, 0.733, 0.500)
Br (0.407, 0.267, 0.500)

=====

Entry 5:
Density functional theory data (GGA-PBE) for a geometry-optimized Mg5Cd2Pd12 structure.

The value obtained for the calculated total energy is -4.063 eV per atom. The magnetic moment comes out at 0.00 μB/atom. Its calculated formation energy is -0.27 eV per atom.

Cell: 5.554 8.162 8.540 Å, 107.60 90.00 109.89°
Fractional coordinates of all 19 atoms:
Mg (0.303, 0.605, 0.621)
Mg (0.355, 0.711, 0.141)
Mg (0.000, 0.000, 0.500)
Mg (0.645, 0.289, 0.859)
Mg (0.697, 0.395, 0.379)
Cd (0.751, 0.000, 0.000)
Cd (0.249, 0.000, 0.000)
Pd (0.107, 0.215, 0.301)
Pd (0.044, 0.604, 0.884)
Pd (0.560, 0.604, 0.884)
Pd (0.101, 0.700, 0.397)
Pd (0.599, 0.700, 0.397)
Pd (0.482, 0.963, 0.654)
Pd (0.518, 0.037, 0.346)
Pd (0.899, 0.300, 0.603)
Pd (0.401, 0.300, 0.603)
Pd (0.956, 0.396, 0.116)
Pd (0.440, 0.396, 0.116)
Pd (0.893, 0.785, 0.699)

=====

Entry 6:
Density functional theory data (GGA-PBE) for a geometry-optimized SrTc3Au structure.

The value obtained for the calculated total energy is -5.472 eV per atom. The magnetic moment comes out at 1.67 μB/atom. Its calculated formation energy is 1.74 eV per atom. For the offset from the most stable computed form, the calculation gives 0.00 eV/f.u.

Cell: 5.059 5.059 5.059 Å, 90.00 90.00 90.00°
Each line ends with the local moment (μB).
Fractional coordinates of all 5 atoms:
Sr (0.500, 0.500, 0.500)  0.00
Au (0.000, 0.000, 0.000)  0.28
Tc (0.000, 0.500, 0.000)  2.52
Tc (0.000, 0.000, 0.500)  2.90
Tc (0.500, 0.000, 0.000)  1.82

=====

Entry 7:
Density functional theory data (GGA-PBE) for a geometry-optimized CdBiSCl2 structure.

The formation energy without anion corrections comes out at -0.185 eV/atom. The value obtained for the calculated total energy is -2.709 eV per atom. The magnetic moment comes out at 0.17 μB/atom. For the offset from the most stable computed form, the calculation gives 0.40 eV/f.u.

Cell: 5.010 5.010 5.324 Å, 90.00 90.00 90.00°
Each line ends with the local moment (μB).
Fractional coordinates of all 5 atoms:
S (0.000, 0.000, 0.500)  -0.04
Cl (0.000, 0.500, 0.000)  0.01
Cl (0.500, 0.000, 0.000)  0.01
Bi (0.500, 0.500, 0.500)  0.58
Cd (0.000, 0.000, 0.000)  0.00

=====

Entry 8:
Density functional theory data (GGA-PBE) for a geometry-optimized HgIrRu2 structure.

The value obtained for the calculated total energy is -6.325 eV per atom. The magnetic moment comes out at 0.45 μB/atom. Its calculated formation energy is 0.60 eV per atom.

Cell: 2.781 2.781 9.624 Å, 90.00 90.00 119.82°
Each line ends with the local moment (μB).
Fractional coordinates of all 4 atoms:
Hg (0.500, 0.500, 0.250)  0.01
Ir (0.500, 0.500, 0.750)  0.16
Ru (0.000, 0.000, 0.985)  0.77
Ru (0.000, 0.000, 0.515)  0.77